! ScPtCl | the Alexandria database | GGA-PBE | relaxed; values from VASP
&SYSTEM
  ibrav = 0, nat = 6, ntyp = 3
/
ATOMIC_SPECIES
Sc 44.96 Sc.upf
Pt 195.08 Pt.upf
Cl 35.45 Cl.upf
ATOMIC_POSITIONS crystal
Sc 0.000 0.000 0.000
Sc 0.141 0.141 0.141
Pt 0.429 0.429 0.429
Pt 0.712 0.712 0.712
Cl 0.619 0.619 0.619
Cl 0.853 0.853 0.853
CELL_PARAMETERS angstrom
1.816 1.048 11.819
-1.816 1.048 11.819
0.000 -2.097 11.819
! **Uncorrected formation energy**: -1.364 eV/atom
! **Polymorph energy (0 for the lowest one)**: 64 meV/atom
! **M_tot**: 0.0 μB per cell
! **Volume**: 135 Å³ per cell
! **Calculated total energy**: -6.104 eV per atom